Er4OsPb after structural relaxation. Source: OQMD via LeMat-Bulk, functional PBE-GGA.

* total magnetization: 0.0 μB/f.u.
* total DFT energy (no corrections): -5.934 eV per atom

Lattice parameters (Å, degrees): 8.027 8.027 6.095 102.17 102.17 113.00
Positions (direct):
Er 0.276 0.944 0.062
Er 0.205 0.345 0.150
Er 0.655 0.795 0.350
Er 0.056 0.724 0.438
Er 0.944 0.276 0.562
Er 0.345 0.205 0.650
Er 0.795 0.655 0.850
Er 0.724 0.056 0.938
Os 0.000 0.000 0.250
Os 0.000 0.000 0.750
Pb 0.630 0.370 0.250
Pb 0.370 0.630 0.750

Sr2Ir5I after structural relaxation. Source: OQMD via LeMat-Bulk, functional PBE-GGA.

* total magnetization: 1.1 μB/f.u.
* total DFT energy (no corrections): -5.588 eV per atom

Lattice parameters (Å, degrees): 6.100 6.100 5.124 90.00 90.00 90.00
Positions (direct):
I 0.000 0.000 0.000
Ir 0.298 0.298 0.000
Ir 0.702 0.298 0.000
Ir 0.298 0.702 0.000
Ir 0.702 0.702 0.000
Ir 0.000 0.000 0.500
Sr 0.500 0.000 0.500
Sr 0.000 0.500 0.500

Ga8Cu after structural relaxation. Source: OQMD via LeMat-Bulk, functional PBE-GGA.

* total DFT energy (no corrections): -3.020 eV per atom

Lattice parameters (Å, degrees): 6.165 6.165 6.165 123.38 104.70 101.31
Positions (direct):
Cu 0.111 0.111 0.000
Ga 0.833 0.611 0.222
Ga 0.873 0.141 0.268
Ga 0.349 0.617 0.268
Ga 0.427 0.111 0.316
Ga 0.795 0.111 0.684
Ga 0.349 0.081 0.732
Ga 0.873 0.606 0.732
Ga 0.389 0.611 0.778

Dy2TmFe2Co7 after structural relaxation. Source: OQMD via LeMat-Bulk, functional PBE-GGA.

* total magnetization: 12.6 μB/f.u.
* energy of formation: -188 meV per atom

Lattice parameters (Å, degrees): 8.433 8.433 8.433 34.68 34.68 34.68
Positions (direct):
Co 0.582 0.582 0.080
Co 0.920 0.418 0.418
Co 0.418 0.920 0.418
Co 0.500 0.500 0.500
Co 0.080 0.582 0.582
Co 0.582 0.080 0.582
Co 0.418 0.418 0.920
Dy 0.140 0.140 0.140
Dy 0.860 0.860 0.860
Fe 0.334 0.334 0.334
Fe 0.666 0.666 0.666
Tm 0.000 0.000 0.000

NaLaFeS3 after structural relaxation. Source: OQMD via LeMat-Bulk, functional PBE-GGA.

* total magnetization: 4.0 μB/f.u.
* energy above the most stable polymorph in this dataset: 0 meV/atom

Lattice parameters (Å, degrees): 11.173 4.098 11.566 90.00 90.00 90.00
Positions (direct):
Fe 0.747 0.000 0.210
Fe 0.247 0.000 0.290
Fe 0.753 0.500 0.710
Fe 0.253 0.500 0.790
La 0.484 0.500 0.178
La 0.984 0.500 0.322
La 0.016 0.000 0.678
La 0.516 0.000 0.822
Na 0.162 0.000 0.011
Na 0.662 0.000 0.489
Na 0.338 0.500 0.511
Na 0.838 0.500 0.989
S 0.617 0.000 0.058
S 0.940 0.000 0.148
S 0.218 0.500 0.196
S 0.718 0.500 0.304
S 0.440 0.000 0.352
S 0.117 0.000 0.442
S 0.883 0.500 0.558
S 0.560 0.500 0.648
S 0.282 0.000 0.696
S 0.782 0.000 0.804
S 0.060 0.500 0.852
S 0.383 0.500 0.942

Mg2Cd2O5 after structural relaxation. Source: OQMD via LeMat-Bulk, functional PBE-GGA.

* energy above the most stable polymorph in this dataset: 0 meV/atom

Lattice parameters (Å, degrees): 7.799 3.736 3.736 90.00 90.00 90.00
Positions (direct):
Cd 0.000 0.000 0.000
Cd 0.500 0.000 0.000
Mg 0.251 0.500 0.500
Mg 0.749 0.500 0.500
O 0.186 0.500 0.000
O 0.814 0.500 0.000
O 0.186 0.000 0.500
O 0.814 0.000 0.500
O 0.500 0.500 0.500

PrCoHg after structural relaxation. Source: OQMD via LeMat-Bulk, functional PBE-GGA.

* total magnetization: 0.0 μB/f.u.
* energy of formation: 10 meV per atom

Lattice parameters (Å, degrees): 4.641 4.641 4.641 60.00 60.00 60.00
Positions (direct):
Co 0.000 0.000 0.000
Hg 0.250 0.250 0.250
Pr 0.750 0.750 0.750

MgCdFeGe after structural relaxation. Source: OQMD via LeMat-Bulk, functional PBE-GGA.

* total magnetization: 2.1 μB/f.u.
* energy above the most stable polymorph in this dataset: 0 meV/atom

Lattice parameters (Å, degrees): 4.577 4.577 4.577 60.00 60.00 60.00
Positions (direct):
Cd 0.500 0.500 0.500
Fe 0.750 0.750 0.750
Ge 0.000 0.000 0.000
Mg 0.250 0.250 0.250